Density functional theory data (PBE) for crystalline KY2O2 at its relaxed geometry.

CIF file:
```
data_KY2O2
_cell_length_a 4.0012
_cell_length_b 4.0012
_cell_length_c 9.8638
_cell_angle_alpha 78.30
_cell_angle_beta 78.30
_cell_angle_gamma 90.00
_symmetry_space_group_name_H-M 'P 1'
_symmetry_Int_Tables_number 1
loop_
_symmetry_equiv_pos_as_xyz
'x,y,z'
loop_
_atom_site_label
_atom_site_type_symbol
_atom_site_fract_x
_atom_site_fract_y
_atom_site_fract_z
Y1 Y 0.3046 0.3046 0.3908
Y2 Y 0.6954 0.6954 0.6092
K1 K 0.0000 0.0000 0.0000
O1 O 0.7500 0.2500 0.5000
O2 O 0.2500 0.7500 0.5000
```

Results
- ΔE_f (raw) (meV/atom) = -2207
- E_tot (eV per atom) = -7.00